This record from Alexandria via LeMat-Bulk describes a geometry-optimized FeHg2Se2 structure. The functional is GGA-PBE.

Unit cell a=8.600 b=8.600 c=8.600 alpha=153.94 beta=153.94 gamma=37.18
Sites, in units of the cell vectors:
Se1 0.423 0.423 0.000
Se2 0.577 0.577 0.000
Hg1 0.250 0.750 0.500
Hg2 0.750 0.250 0.500
Fe1 0.000 0.000 0.000

Summary:
Spin magnetization in μB per formula unit: 3.78
Symmetry: I4/mmm (139)
ρ in Mg/m³: 8.33
Relative energy among the computed polymorphs in meV/atom: 354
Formation energy without anion corrections in meV/atom: 439